Compound: CuAg3
Source: the Open Quantum Materials Database
Functional: GGA-PBE
Structure: relaxed

## Properties
E_form	0.07	eV per atom
final energy	-2.98	eV per atom

Geometry as extended XYZ:
```
8
Lattice="2.687 -0.090 -5.102 -4.491 -2.856 -2.222 -1.718 3.452 -0.965" Properties=species:S:1:pos:R:3 pbc="T T T"
Ag -1.748 -0.187 -1.649
Ag -0.400 -0.251 -4.277
Ag -2.684 -1.715 -5.448
Ag -0.838 2.221 -2.841
Ag -3.122 0.757 -4.012
Ag -1.774 0.693 -6.641
Cu -4.076 -1.668 -2.802
Cu 0.554 2.174 -5.487
```



Compound: TbCdAgSe3
Source: the Open Quantum Materials Database
Functional: GGA-PBE
Structure: relaxed

## Properties
spin magnetization	0.01	μB/f.u.
final energy	-4.02	eV per atom

Geometry as extended XYZ:
```
12
Lattice="-3.712 -3.731 -5.722 3.066 -2.633 -0.272 -3.275 -4.600 7.621" Properties=species:S:1:pos:R:3 pbc="T T T"
Ag 0.130 -1.401 -0.052
Ag -4.052 -9.564 1.679
Cd -1.274 -5.848 -2.980
Cd -2.648 -5.116 4.608
Se 1.138 -3.162 -1.799
Se -0.589 -2.474 2.233
Se -2.593 -4.501 -0.734
Se -1.329 -6.464 2.361
Se -3.333 -8.490 -0.606
Se -5.060 -7.803 3.426
Tb 0.060 -4.654 0.499
Tb -3.982 -6.310 1.128
```



Compound: PuTcPd
Source: the Open Quantum Materials Database
Functional: GGA-PBE
Structure: relaxed

## Properties
distance to the lowest polymorph of the same formula	0	meV/atom
spin magnetization	2.97	μB/f.u.
E_form	0.47	eV per atom
final energy	-9.42	eV per atom

Geometry as extended XYZ:
```
3
Lattice="2.836 -2.356 -2.409 -0.366 -4.386 -0.166 -1.354 -1.958 -3.705" Properties=species:S:1:pos:R:3 pbc="T T T"
Pd 0.000 0.000 0.000
Pu 0.279 -2.175 -1.570
Tc 0.837 -6.524 -4.710
```



Ρ list, top to bottom, in kg/m³: 9726 6982 12330